<a>
DFT (PBE) results for a geometry-optimized LiMg2In8 structure.

SG = P4/mmm
Magnetization = 0.0 μB per formula unit
Crystal system = tetragonal

Cell lengths 4.7948, 4.7948, 11.8438 Å; angles 90.00, 90.00, 90.00 degrees
Atoms (fractional coordinates):
In  0.0000  0.5000  0.1328
In  0.5000  0.0000  0.8672
In  0.0000  0.5000  0.8672
Mg  0.0000  0.0000  0.6883
In  0.5000  0.5000  0.6841
Mg  0.0000  0.0000  0.3117
In  0.5000  0.0000  0.5000
Li  0.0000  0.0000  0.0000
In  0.5000  0.0000  0.1328
In  0.5000  0.5000  0.3159
In  0.0000  0.5000  0.5000

=====

<b>
DFT (PBE) results for a geometry-optimized LiMg2In8 structure.

SG = C2/m
Magnetization = 0.0 μB per formula unit
Crystal system = monoclinic

Cell lengths 4.6802, 6.5597, 10.3249 Å; angles 116.18, 103.10, 90.00 degrees
Atoms (fractional coordinates):
In  0.9872  0.2480  0.9744
Li  0.5000  0.0000  0.0000
In  0.0128  0.7520  0.0256
Mg  0.1987  0.7948  0.3975
In  0.7983  0.6910  0.5965
In  0.2017  0.3090  0.4035
In  0.6308  0.9486  0.2617
In  0.3873  0.5488  0.7745
In  0.3692  0.0514  0.7383
Mg  0.8013  0.2052  0.6025
In  0.6127  0.4512  0.2255

=====

On energetic grounds, <a> is preferred over the next structure by 1.4 kJ/mol of atoms.

=====

<a>
DFT (PBE) results for a geometry-optimized Li2Mg3In6 structure.

SG = I4/mmm
Magnetization = 0.0 μB per formula unit
Crystal system = tetragonal

Cell lengths 4.3741, 4.3741, 14.5253 Å; angles 98.66, 98.66, 90.00 degrees
Atoms (fractional coordinates):
Mg  0.8042  0.8042  0.6084
In  0.8884  0.3884  0.7768
Li  0.4537  0.4537  0.9073
In  0.7006  0.7006  0.4013
Mg  0.1958  0.1958  0.3916
In  0.3884  0.8884  0.7768
In  0.1116  0.6116  0.2232
In  0.6116  0.1116  0.2232
Mg  0.0000  0.0000  0.0000
In  0.2994  0.2994  0.5987
Li  0.5463  0.5463  0.0927

=====

<b>
DFT (PBE) results for a geometry-optimized Li2Mg3In6 structure.

SG = R-3m
Magnetization = 0.0 μB per formula unit
Crystal system = trigonal

Cell lengths 3.3135, 3.3135, 26.9537 Å; angles 86.48, 86.48, 60.00 degrees
Atoms (fractional coordinates):
Li  0.5451  0.5451  0.3647
In  0.3644  0.3644  0.9067
In  0.1834  0.1834  0.4499
In  0.6356  0.6356  0.0933
In  0.0933  0.0933  0.7201
Mg  0.7291  0.7291  0.8127
In  0.9067  0.9067  0.2799
Mg  0.0000  0.0000  0.0000
In  0.8166  0.8166  0.5501
Mg  0.2709  0.2709  0.1873
Li  0.4549  0.4549  0.6353

=====

On energetic grounds, <b> is preferred over the next structure by 11.0 kJ/mol of atoms.

=====

<a>
DFT (PBE) results for a geometry-optimized Li6Mg2In structure.

SG = Immm
Magnetization = 0.0 μB per formula unit
Crystal system = orthorhombic

Cell lengths 4.8638, 7.9145, 7.9145 Å; angles 41.00, 72.11, 72.11 degrees
Atoms (fractional coordinates):
In  0.5000  0.5000  0.5000
Li  0.8040  0.9436  0.4484
Li  0.1960  0.0564  0.5516
Mg  0.6077  0.8923  0.8923
Li  0.0000  0.7615  0.2385
Li  0.8040  0.4484  0.9436
Li  0.0000  0.2385  0.7615
Mg  0.3923  0.1077  0.1077
Li  0.1960  0.5516  0.0564

=====

<b>
DFT (PBE) results for a geometry-optimized Li6Mg2In structure.

SG = C2/m
Magnetization = 0.0 μB per formula unit
Crystal system = monoclinic

Cell lengths 3.0227, 8.3231, 8.3231 Å; angles 112.25, 81.59, 81.59 degrees
Atoms (fractional coordinates):
Mg  0.1644  0.3170  0.3170
Li  0.5000  0.3481  0.6519
Li  0.5000  0.6519  0.3481
Li  0.7840  0.9887  0.3411
Li  0.7840  0.3411  0.9887
Mg  0.8356  0.6830  0.6830
Li  0.2160  0.0113  0.6589
In  0.0000  0.0000  0.0000
Li  0.2160  0.6589  0.0113

=====

On energetic grounds, <b> is preferred over the next structure by 3.5 kJ/mol of atoms.

=====

<a>
DFT (PBE) results for a geometry-optimized Li3Mg2In structure.

SG = Fmmm
Magnetization = 0.0 μB per formula unit
Crystal system = orthorhombic

Cell lengths 5.6416, 5.6416, 9.6929 Å; angles 114.73, 114.73, 64.06 degrees
Atoms (fractional coordinates):
Mg  0.2500  0.7500  0.5000
Li  0.3284  0.3284  0.1633
Li  0.1651  0.1651  0.8367
Li  0.8326  0.8326  0.6652
Mg  0.7500  0.2500  0.5000
Mg  0.7528  0.2472  0.0000
Li  0.8349  0.8349  0.1633
In  0.3395  0.3395  0.6790
Mg  0.2472  0.7528  0.0000
Li  0.1674  0.1674  0.3348
Li  0.6716  0.6716  0.8367
In  0.6605  0.6605  0.3210

=====

<b>
DFT (PBE) results for a geometry-optimized Li3Mg2In structure.

SG = Cmmm
Magnetization = 0.0 μB per formula unit
Crystal system = orthorhombic

Cell lengths 3.6349, 4.6391, 13.9298 Å; angles 90.00, 90.00, 90.00 degrees
Atoms (fractional coordinates):
Li  0.5002  0.5000  0.0000
Li  0.4998  0.0000  0.5000
Li  0.4998  0.5000  0.3361
Li  0.4998  0.5000  0.6639
Mg  0.9999  0.0000  0.6639
Li  0.5002  0.0000  0.1639
Mg  0.0001  0.5000  0.8361
In  0.9998  0.5000  0.5000
Mg  0.0001  0.5000  0.1639
Mg  0.9999  0.0000  0.3361
In  0.0002  0.0000  0.0000
Li  0.5002  0.0000  0.8361

=====

On energetic grounds, <b> is preferred over the next structure by 1.8 kJ/mol of atoms.

=====

<a>
DFT (PBE) results for a geometry-optimized Li4MgIn4 structure.

SG = I4/mmm
Magnetization = 0.0 μB per formula unit
Crystal system = tetragonal

Cell lengths 4.4321, 6.9435, 6.9435 Å; angles 84.15, 71.39, 71.39 degrees
Atoms (fractional coordinates):
In  0.6699  0.0000  0.6603
In  0.3302  0.3397  0.0000
Li  0.3229  0.6771  0.6771
Li  0.0000  0.3229  0.6771
Li  0.6771  0.3229  0.3229
Li  0.0000  0.6771  0.3229
Mg  0.0000  0.0000  0.0000
In  0.6698  0.6603  0.0000
In  0.3301  0.0000  0.3397

=====

<b>
DFT (PBE) results for a geometry-optimized Li4MgIn4 structure.

SG = P4_2/nmc
Magnetization = 0.0 μB per formula unit
Crystal system = tetragonal

Cell lengths 6.3056, 6.3056, 9.8611 Å; angles 90.00, 90.00, 90.00 degrees
Atoms (fractional coordinates):
In  0.0000  0.7424  0.7311
In  0.2576  0.0000  0.2689
Li  0.5000  0.7806  0.0619
Li  0.7194  0.0000  0.5619
In  0.0000  0.2576  0.7311
In  0.7576  0.5000  0.2311
In  0.5000  0.7576  0.7689
In  0.7424  0.0000  0.2689
Li  0.5000  0.2194  0.0619
Mg  0.5000  0.5000  0.5000
Mg  0.0000  0.0000  0.0000
Li  0.2806  0.0000  0.5619
Li  0.2194  0.5000  0.9381
In  0.5000  0.2424  0.7689
Li  0.7806  0.5000  0.9381
Li  0.0000  0.2806  0.4381
In  0.2424  0.5000  0.2311
Li  0.0000  0.7194  0.4381

=====

On energetic grounds, <a> is preferred over the next structure by 4.5 kJ/mol of atoms.

=====

<a>
DFT (PBE) results for a geometry-optimized Li5Mg4In structure.

SG = P-1
Magnetization = 0.0 μB per formula unit
Crystal system = triclinic

Cell lengths 3.3608, 11.2841, 7.6882 Å; angles 131.20, 90.22, 106.99 degrees
Atoms (fractional coordinates):
Mg  0.6773  0.6792  0.7780
In  0.5000  0.0000  0.0000
Li  0.1138  0.6129  0.3967
Mg  0.3042  0.8046  0.2164
Mg  0.3227  0.3208  0.2220
Mg  0.6958  0.1954  0.7836
Li  0.0961  0.0974  0.3852
Li  0.8862  0.3871  0.6033
Li  0.9039  0.9026  0.6148
Li  0.5000  0.5000  0.0000

=====

<b>
DFT (PBE) results for a geometry-optimized Li5Mg4In structure.

SG = I4mm
Magnetization = 0.0 μB per formula unit
Crystal system = tetragonal

Cell lengths 5.1848, 6.8817, 6.8817 Å; angles 81.84, 67.87, 67.87 degrees
Atoms (fractional coordinates):
Mg  0.1200  0.3245  0.3245
Mg  0.7690  0.6755  0.6755
Li  0.1322  0.0001  0.6327
Li  0.7650  0.9999  0.3673
In  0.2300  0.0000  0.0000
Mg  0.4445  0.3245  0.6755
Li  0.7078  0.0000  0.0000
Li  0.1323  0.6327  0.9999
Li  0.7649  0.3673  0.0001
Mg  0.4445  0.6755  0.3245

=====

On energetic grounds, <a> is preferred over the next structure by 9.0 kJ/mol of atoms.

=====

<a>
DFT (PBE) results for a geometry-optimized Li3Mg4In structure.

SG = C2/m
Magnetization = 0.0 μB per formula unit
Crystal system = monoclinic

Cell lengths 3.1879, 4.5276, 12.5924 Å; angles 101.51, 97.27, 90.00 degrees
Atoms (fractional coordinates):
Li  0.8475  0.8512  0.6949
Li  0.1525  0.1488  0.3051
Li  0.0000  0.5000  0.0000
Mg  0.5950  0.5896  0.1901
Mg  0.4049  0.4104  0.8099
In  0.5000  0.0000  0.0000
Mg  0.7186  0.7181  0.4371
Mg  0.2814  0.2819  0.5629

=====

<b>
DFT (PBE) results for a geometry-optimized Li3Mg4In structure.

SG = C2/m
Magnetization = 0.0 μB per formula unit
Crystal system = monoclinic

Cell lengths 4.8163, 4.8665, 8.4723 Å; angles 74.46, 73.49, 60.34 degrees
Atoms (fractional coordinates):
Mg  0.3790  0.3802  0.8617
Mg  0.1271  0.1316  0.6141
Li  0.7454  0.7527  0.7564
In  0.0000  0.0000  0.0000
Mg  0.6210  0.6198  0.1383
Mg  0.8729  0.8684  0.3859
Li  0.2546  0.2473  0.2436
Li  0.5000  0.5000  0.5000

=====

On energetic grounds, <b> is preferred over the next structure by 9.7 kJ/mol of atoms.

=====

<a>
DFT (PBE) results for a geometry-optimized Li2Mg3In3 structure.

SG = Pmmm
Magnetization = 0.0 μB per formula unit
Crystal system = orthorhombic

Cell lengths 4.4181, 4.4487, 8.8332 Å; angles 90.00, 90.00, 90.00 degrees
Atoms (fractional coordinates):
In  0.5000  0.0000  0.5000
Li  0.0000  0.0000  0.7451
In  0.0000  0.5000  0.0000
Mg  0.5000  0.0000  0.0000
In  0.0000  0.5000  0.5000
Mg  0.5000  0.5000  0.2508
Mg  0.5000  0.5000  0.7492
Li  0.0000  0.0000  0.2549

=====

<b>
DFT (PBE) results for a geometry-optimized Li2Mg3In3 structure.

SG = P-62m
Magnetization = 0.0 μB per formula unit
Crystal system = hexagonal

Cell lengths 3.1241, 8.0315, 8.0315 Å; angles 120.00, 90.00, 90.00 degrees
Atoms (fractional coordinates):
Li  0.0000  0.6667  0.3333
In  0.5000  0.3826  0.3826
In  0.5000  0.6174  0.0000
Li  0.0000  0.3333  0.6667
Mg  0.0000  0.7463  0.7463
Mg  0.0000  0.0000  0.2537
Mg  0.0000  0.2537  0.0000
In  0.5000  0.0000  0.6174

=====

On energetic grounds, <a> is preferred over the next structure by 2.9 kJ/mol of atoms.

=====

<a>
DFT (PBE) results for a geometry-optimized LiMg6In structure.

SG = Amm2
Magnetization = 0.0 μB per formula unit
Crystal system = orthorhombic

Cell lengths 5.1488, 6.2390, 6.2390 Å; angles 116.46, 90.00, 90.00 degrees
Atoms (fractional coordinates):
Mg  0.5000  0.4113  0.0916
Mg  0.0000  0.5845  0.9029
Li  0.5000  0.4123  0.5877
Mg  0.5000  0.9077  0.0923
In  0.0000  0.0885  0.9115
Mg  0.0000  0.0971  0.4155
Mg  0.0000  0.5898  0.4102
Mg  0.5000  0.9084  0.5887

=====

<b>
DFT (PBE) results for a geometry-optimized LiMg6In structure.

SG = P4/mmm
Magnetization = 0.0 μB per formula unit
Crystal system = tetragonal

Cell lengths 4.4488, 4.4488, 9.0131 Å; angles 90.00, 90.00, 90.00 degrees
Atoms (fractional coordinates):
Li  0.0000  0.0000  0.5000
Mg  0.0000  0.5000  0.7484
Mg  0.5000  0.0000  0.7484
Mg  0.5000  0.5000  0.5000
In  0.0000  0.0000  0.0000
Mg  0.5000  0.0000  0.2516
Mg  0.0000  0.5000  0.2516
Mg  0.5000  0.5000  0.0000

=====

On energetic grounds, <a> is preferred over the next structure by 0.6 kJ/mol of atoms.

=====

<a>
DFT (PBE) results for a geometry-optimized LiMg3In6 structure.

SG = R-3
Magnetization = 0.0 μB per formula unit
Crystal system = trigonal

Cell lengths 8.2459, 8.2459, 8.2459 Å; angles 105.42, 105.42, 105.42 degrees
Atoms (fractional coordinates):
Mg  0.5906  0.8782  0.7724
In  0.9500  0.1730  0.7169
In  0.4828  0.8133  0.3693
Li  0.0000  0.0000  0.0000
Mg  0.1218  0.2276  0.4094
Li  0.5000  0.5000  0.5000
Mg  0.8782  0.7724  0.5906
In  0.0500  0.8270  0.2831
In  0.7169  0.9500  0.1730
In  0.2831  0.0500  0.8270
In  0.8133  0.3693  0.4828
In  0.6307  0.5172  0.1867
In  0.3693  0.4828  0.8133
In  0.5172  0.1867  0.6307
Mg  0.2276  0.4094  0.1218
In  0.1867  0.6307  0.5172
Mg  0.7724  0.5906  0.8782
In  0.8270  0.2831  0.0500
In  0.1730  0.7169  0.9500
Mg  0.4094  0.1218  0.2276

=====

<b>
DFT (PBE) results for a geometry-optimized LiMg3In6 structure.

SG = R3m
Magnetization = 0.0 μB per formula unit
Crystal system = trigonal

Cell lengths 3.2710, 10.5507, 10.5507 Å; angles 118.95, 95.93, 95.93 degrees
Atoms (fractional coordinates):
Li  0.8493  0.0000  0.0000
In  0.1646  0.7503  0.7503
In  0.9232  0.2763  0.2763
Mg  0.5432  0.5140  0.5140
In  0.4144  0.2497  0.0000
In  0.6469  0.0000  0.7237
In  0.4144  0.0000  0.2497
Mg  0.0292  0.4860  0.0000
Mg  0.0292  0.0000  0.4860
In  0.6469  0.7237  0.0000

=====

On energetic grounds, <a> is preferred over the next structure by 13.9 kJ/mol of atoms.